# 1
Sr2PdW2 | PBE-GGA | relaxed Values from VASP.

Calculated values
Theoretical density, g/cm³: 7.99
Distance to the lowest polymorph of the same formula, eV per atom: 0.733

Geometry as Quantum ESPRESSO input:
```
&SYSTEM
  ibrav = 0, nat = 10, ntyp = 3
/
ATOMIC_SPECIES
Sr 87.62 Sr.upf
Pd 106.42 Pd.upf
W 183.84 W.upf
CELL_PARAMETERS angstrom
9.251 0.000 0.000
0.000 9.251 0.000
0.000 0.000 3.152
ATOMIC_POSITIONS crystal
Sr 0.203 0.297 0.000
Sr 0.297 0.797 0.000
Sr 0.703 0.203 0.000
Sr 0.797 0.703 0.000
Pd 0.000 0.000 0.000
Pd 0.500 0.500 0.000
W 0.085 0.585 0.500
W 0.415 0.085 0.500
W 0.585 0.915 0.500
W 0.915 0.415 0.500
```


# 2
SrPd3W | PBE-GGA | relaxed Values from VASP.

Calculated values
Theoretical density, g/cm³: 8.16
Distance to the lowest polymorph of the same formula, eV per atom: 0.000

Geometry as Quantum ESPRESSO input:
```
&SYSTEM
  ibrav = 0, nat = 5, ntyp = 3
/
ATOMIC_SPECIES
Sr 87.62 Sr.upf
Pd 106.42 Pd.upf
W 183.84 W.upf
CELL_PARAMETERS angstrom
4.935 0.000 0.000
0.000 4.935 0.000
0.000 0.000 4.935
ATOMIC_POSITIONS crystal
Sr 0.000 0.000 0.000
Pd 0.000 0.500 0.500
Pd 0.500 0.000 0.500
Pd 0.500 0.500 0.000
W 0.500 0.500 0.500
```


# 3
Sr2PdW2 | PBE-GGA | relaxed Values from VASP.

Calculated values
Theoretical density, g/cm³: 8.28
Distance to the lowest polymorph of the same formula, eV per atom: 0.000

Geometry as Quantum ESPRESSO input:
```
&SYSTEM
  ibrav = 0, nat = 5, ntyp = 3
/
ATOMIC_SPECIES
Sr 87.62 Sr.upf
Pd 106.42 Pd.upf
W 183.84 W.upf
CELL_PARAMETERS angstrom
-1.826 1.826 9.760
1.826 -1.826 9.760
1.826 1.826 -9.760
ATOMIC_POSITIONS crystal
Sr 0.097 0.097 0.000
Sr 0.903 0.903 0.000
Pd 0.500 0.500 0.000
W 0.250 0.750 0.500
W 0.750 0.250 0.500
```


# 4
Sr2PdW | PBE-GGA | relaxed Values from VASP.

Calculated values
Theoretical density, g/cm³: 6.98
Distance to the lowest polymorph of the same formula, eV per atom: 0.000

Geometry as Quantum ESPRESSO input:
```
&SYSTEM
  ibrav = 0, nat = 4, ntyp = 3
/
ATOMIC_SPECIES
Sr 87.62 Sr.upf
Pd 106.42 Pd.upf
W 183.84 W.upf
CELL_PARAMETERS angstrom
0.000 3.812 3.812
3.812 0.000 3.812
3.812 3.812 0.000
ATOMIC_POSITIONS crystal
Sr 0.250 0.250 0.250
Sr 0.750 0.750 0.750
Pd 0.000 0.000 0.000
W 0.500 0.500 0.500
```


# 5
SrPdW3 | PBE-GGA | relaxed Values from VASP.

Calculated values
Theoretical density, g/cm³: 11.77
Distance to the lowest polymorph of the same formula, eV per atom: 1.544

Geometry as Quantum ESPRESSO input:
```
&SYSTEM
  ibrav = 0, nat = 5, ntyp = 3
/
ATOMIC_SPECIES
Sr 87.62 Sr.upf
Pd 106.42 Pd.upf
W 183.84 W.upf
CELL_PARAMETERS angstrom
4.721 0.000 0.000
0.000 4.721 0.000
0.000 0.000 4.721
ATOMIC_POSITIONS crystal
Sr 0.000 0.000 0.000
Pd 0.500 0.500 0.500
W 0.000 0.000 0.500
W 0.000 0.500 0.000
W 0.500 0.000 0.000
```


# 6
SrYPdW2 | PBE-GGA | relaxed Values from VASP.

Calculated values
Theoretical density, g/cm³: 7.70

Geometry as Quantum ESPRESSO input:
```
&SYSTEM
  ibrav = 0, nat = 5, ntyp = 4
/
ATOMIC_SPECIES
Sr 87.62 Sr.upf
Y 88.91 Y.upf
Pd 106.42 Pd.upf
W 183.84 W.upf
CELL_PARAMETERS angstrom
4.914 0.000 0.000
0.000 4.914 0.000
0.000 0.000 5.813
ATOMIC_POSITIONS crystal
Sr 0.000 0.000 0.000
Y 0.000 0.000 0.500
Pd 0.500 0.500 0.000
W 0.000 0.500 0.500
W 0.500 0.000 0.500
```


# 7
Sr3YPd | PBE-GGA | relaxed Values from VASP.

Calculated values
Theoretical density, g/cm³: 2.95
Distance to the lowest polymorph of the same formula, eV per atom: 1.079

Geometry as Quantum ESPRESSO input:
```
&SYSTEM
  ibrav = 0, nat = 5, ntyp = 3
/
ATOMIC_SPECIES
Sr 87.62 Sr.upf
Y 88.91 Y.upf
Pd 106.42 Pd.upf
CELL_PARAMETERS angstrom
6.368 0.000 0.000
0.000 6.368 0.000
0.000 0.000 6.368
ATOMIC_POSITIONS crystal
Sr 0.000 0.000 0.500
Sr 0.000 0.500 0.000
Sr 0.500 0.000 0.000
Y 0.000 0.000 0.000
Pd 0.500 0.500 0.500
```


# 8
SrY3Pd | PBE-GGA | relaxed Values from VASP.

Calculated values
Theoretical density, g/cm³: 4.39
Distance to the lowest polymorph of the same formula, eV per atom: 0.000

Geometry as Quantum ESPRESSO input:
```
&SYSTEM
  ibrav = 0, nat = 5, ntyp = 3
/
ATOMIC_SPECIES
Sr 87.62 Sr.upf
Y 88.91 Y.upf
Pd 106.42 Pd.upf
CELL_PARAMETERS angstrom
5.587 0.000 0.000
0.000 5.587 0.000
0.000 0.000 5.587
ATOMIC_POSITIONS crystal
Sr 0.000 0.000 0.000
Y 0.000 0.500 0.500
Y 0.500 0.000 0.500
Y 0.500 0.500 0.000
Pd 0.500 0.500 0.500
```


# 9
SrY3Pd | PBE-GGA | relaxed Values from VASP.

Calculated values
Theoretical density, g/cm³: 4.72
Distance to the lowest polymorph of the same formula, eV per atom: 1.510

Geometry as Quantum ESPRESSO input:
```
&SYSTEM
  ibrav = 0, nat = 5, ntyp = 3
/
ATOMIC_SPECIES
Sr 87.62 Sr.upf
Y 88.91 Y.upf
Pd 106.42 Pd.upf
CELL_PARAMETERS angstrom
5.452 0.000 0.000
0.000 5.452 0.000
0.000 0.000 5.452
ATOMIC_POSITIONS crystal
Sr 0.000 0.000 0.000
Y 0.000 0.000 0.500
Y 0.000 0.500 0.000
Y 0.500 0.000 0.000
Pd 0.500 0.500 0.500
```


# 10
SrY2Pd2 | PBE-GGA | relaxed Values from VASP.

Calculated values
Theoretical density, g/cm³: 5.70
Distance to the lowest polymorph of the same formula, eV per atom: 0.011

Geometry as Quantum ESPRESSO input:
```
&SYSTEM
  ibrav = 0, nat = 5, ntyp = 3
/
ATOMIC_SPECIES
Sr 87.62 Sr.upf
Y 88.91 Y.upf
Pd 106.42 Pd.upf
CELL_PARAMETERS angstrom
-2.375 2.375 6.177
2.375 -2.375 6.177
2.375 2.375 -6.177
ATOMIC_POSITIONS crystal
Sr 0.000 0.000 0.000
Y 0.250 0.750 0.500
Y 0.750 0.250 0.500
Pd 0.387 0.387 0.000
Pd 0.613 0.613 0.000
```


# 11
SrY2Pd | PBE-GGA | relaxed Values from VASP.

Calculated values
Theoretical density, g/cm³: 4.91
Distance to the lowest polymorph of the same formula, eV per atom: 0.000

Geometry as Quantum ESPRESSO input:
```
&SYSTEM
  ibrav = 0, nat = 4, ntyp = 3
/
ATOMIC_SPECIES
Sr 87.62 Sr.upf
Y 88.91 Y.upf
Pd 106.42 Pd.upf
CELL_PARAMETERS angstrom
3.597 0.000 0.000
0.000 3.597 0.000
0.000 0.000 9.717
ATOMIC_POSITIONS crystal
Sr 0.000 0.000 0.000
Y 0.500 0.500 0.329
Y 0.500 0.500 0.671
Pd 0.000 0.000 0.500
```


# 12
SrY2Pd3 | PBE-GGA | relaxed Values from VASP.

Calculated values
Theoretical density, g/cm³: 6.98

Geometry as Quantum ESPRESSO input:
```
&SYSTEM
  ibrav = 0, nat = 6, ntyp = 3
/
ATOMIC_SPECIES
Sr 87.62 Sr.upf
Y 88.91 Y.upf
Pd 106.42 Pd.upf
CELL_PARAMETERS angstrom
3.556 0.000 0.000
0.000 3.556 0.000
0.000 0.000 10.999
ATOMIC_POSITIONS crystal
Sr 0.000 0.000 0.000
Y 0.000 0.000 0.339
Y 0.000 0.000 0.661
Pd 0.500 0.500 0.199
Pd 0.500 0.500 0.500
Pd 0.500 0.500 0.801
```


no.,VASP energy (eV for the cell shown)
1,-56.71
2,-28.33
3,-32.02
4,-18.15
5,-27.71
6,-27.27
7,-11.52
8,-27.23
9,-19.68
10,-27.95
11,-21.05
12,-34.94